Record 1
The following is a DFT calculation (PBE) of an optimized crystal structure of ZnSn2P.

Cell lengths 6.2060, 6.2060, 7.3351 Å; angles 64.97, 64.97, 90.00 degrees
Fractional positions:
Zn (0.0000, 0.0000, 0.0000)
Zn (0.7500, 0.2500, 0.5000)
P (0.5000, 0.5000, 0.0000)
P (0.2500, 0.7500, 0.5000)
Sn (0.1303, 0.6250, 0.2500)
Sn (0.6197, 0.1250, 0.2500)
Sn (0.3750, 0.3803, 0.7500)
Sn (0.8750, 0.8697, 0.7500)

## Properties
**Density of states at the Fermi level**: 3.1 states/eV per cell
**Energy of formation**: 94 meV per atom
**Space group**: I-42d, No. 122
**Excess energy over the best structure of this formula in the dataset**: 0.0 meV per atom

=====

Record 2
The following is a DFT calculation (PBE) of an optimized crystal structure of Na5Mg2Hg5.

Cell lengths 5.1798, 5.1565, 13.7862 Å; angles 90.25, 79.17, 59.85 degrees
Fractional positions:
Hg (0.8109, 0.5916, 0.7867)
Hg (0.7139, 0.1468, 0.4253)
Hg (0.2861, 0.8532, 0.5747)
Hg (0.1891, 0.4084, 0.2133)
Hg (0.0000, 0.0000, 0.0000)
Mg (0.1432, 0.9235, 0.7902)
Mg (0.8568, 0.0765, 0.2098)
Na (0.6144, 0.6951, 0.0762)
Na (0.0000, 0.5000, 0.5000)
Na (0.5586, 0.2158, 0.6669)
Na (0.3856, 0.3049, 0.9238)
Na (0.4414, 0.7842, 0.3331)

## Properties
**Density of states at the Fermi level**: 5.1 states/eV per cell
**Energy of formation**: -197 meV per atom
**Space group**: C2/m, No. 12

=====

no.,total DFT energy (no corrections) (eV/atom)
1,-3.579
2,-1.138